# 1
## Ce2CrN4 (PBE)

Data for Ce2CrN4 after structural relaxation.

Results
N(E_F), states/eV per cell: 10.26
E above lowest polymorph, meV per atom: 0.0
Formation energy from raw total energies, eV per atom: -1.143

Unit cell a=3.730 b=3.730 c=12.323 alpha=90.00 beta=90.00 gamma=90.00
Space group I4/mmm (No. 139)
One atom of each set of equivalent atoms:
1 Ce 0.000 0.000 0.144 (multiplicity 4)
2 Cr 0.000 0.000 0.500 (multiplicity 2)
3 N 0.000 0.000 0.325 (multiplicity 4)
4 N 0.000 0.500 0.000 (multiplicity 4)


# 2
## NaCeCrN3 (PBE)

Data for NaCeCrN3 after structural relaxation.

Results
N(E_F), states/eV per cell: 6.68
Formation energy from raw total energies, eV per atom: -0.656

Unit cell a=12.899 b=3.752 c=6.752 alpha=90.00 beta=105.30 gamma=90.00
Space group C2/m (No. 12)
One atom of each set of equivalent atoms:
1 Na 0.158 0.000 0.078 (multiplicity 4)
2 Ce 0.147 0.000 0.567 (multiplicity 4)
3 Cr 0.002 0.500 0.782 (multiplicity 4)
4 N 0.010 0.000 0.242 (multiplicity 4)
5 N 0.139 0.500 0.804 (multiplicity 4)
6 N 0.165 0.500 0.374 (multiplicity 4)


# 3
## NaCe2CrN4 (PBE)

Data for NaCe2CrN4 after structural relaxation.

Results
N(E_F), states/eV per cell: 18.61
Formation energy from raw total energies, eV per atom: -0.925

Unit cell a=3.515 b=12.370 c=11.891 alpha=90.00 beta=90.00 gamma=90.00
Space group Cmcm (No. 63)
One atom of each set of equivalent atoms:
1 Na 0.000 0.076 0.250 (multiplicity 4)
2 Ce 0.000 0.369 0.044 (multiplicity 8)
3 Cr 0.000 0.186 0.750 (multiplicity 4)
4 N 0.000 0.000 0.000 (multiplicity 4)
5 N 0.000 0.248 0.610 (multiplicity 8)
6 N 0.000 0.384 0.250 (multiplicity 4)


# 4
## Ce2NbCrN5 (PBE)

Data for Ce2NbCrN5 after structural relaxation.

Results
N(E_F), states/eV per cell: 24.29
Formation energy from raw total energies, eV per atom: -1.130

Unit cell a=3.288 b=13.142 c=10.200 alpha=90.00 beta=90.00 gamma=90.00
Space group Cmc2_1 (No. 36)
One atom of each set of equivalent atoms:
1 Ce 0.000 0.111 0.000 (multiplicity 4)
2 Ce 0.000 0.143 0.609 (multiplicity 4)
3 Nb 0.000 0.211 0.316 (multiplicity 4)
4 Cr 0.000 0.476 0.771 (multiplicity 4)
5 N 0.000 0.044 0.353 (multiplicity 4)
6 N 0.000 0.284 0.961 (multiplicity 4)
7 N 0.000 0.321 0.681 (multiplicity 4)
8 N 0.000 0.368 0.309 (multiplicity 4)
9 N 0.000 0.491 0.096 (multiplicity 4)


# 5
## Ce2NdCrN4 (PBE)

Data for Ce2NdCrN4 after structural relaxation.

Results
N(E_F), states/eV per cell: 26.34
Formation energy from raw total energies, eV per atom: -1.146

Unit cell a=3.449 b=11.710 c=11.933 alpha=90.00 beta=90.00 gamma=90.00
Space group Cmcm (No. 63)
One atom of each set of equivalent atoms:
1 Ce 0.000 0.133 0.048 (multiplicity 8)
2 Nd 0.000 0.400 0.250 (multiplicity 4)
3 Cr 0.000 0.335 0.750 (multiplicity 4)
4 N 0.000 0.072 0.250 (multiplicity 4)
5 N 0.000 0.233 0.630 (multiplicity 8)
6 N 0.000 0.500 0.000 (multiplicity 4)


# 6
## Ce2NdCr2N6 (PBE)

Data for Ce2NdCr2N6 after structural relaxation.

Results
N(E_F), states/eV per cell: 27.94
Formation energy from raw total energies, eV per atom: -0.806

Unit cell a=5.5310 b=5.5310 c=18.8142 alpha=90.00 beta=90.00 gamma=120.00
Space group R-3m (No. 166, hexagonal axes)
One atom of each set of equivalent atoms:
1 Ce 0.0000 0.0000 0.2041 (multiplicity 6)
2 Nd 0.0000 0.0000 0.0000 (multiplicity 3)
3 Cr 0.0000 0.0000 0.4055 (multiplicity 6)
4 N 0.0015 0.5007 0.7682 (multiplicity 18)


# 7
## Ce2NpCrN6 (PBE)

Data for Ce2NpCrN6 after structural relaxation.

Results
N(E_F), states/eV per cell: 11.18
Formation energy from raw total energies, eV per atom: -1.010

Unit cell a=9.667 b=5.573 c=5.729 alpha=90.00 beta=124.72 gamma=90.00
Space group C2/m (No. 12)
One atom of each set of equivalent atoms:
1 Ce 0.245 0.000 0.230 (multiplicity 4)
2 Np 0.000 0.000 0.500 (multiplicity 2)
3 Cr 0.000 0.500 0.000 (multiplicity 2)
4 N 0.060 0.251 0.819 (multiplicity 8)
5 N 0.244 0.500 0.351 (multiplicity 4)


# 8
## CeNpCrN3 (PBE)

Data for CeNpCrN3 after structural relaxation.

Results
N(E_F), states/eV per cell: 16.03
Formation energy from raw total energies, eV per atom: -0.982

Unit cell a=7.216 b=3.285 c=7.350 alpha=90.00 beta=100.69 gamma=90.00
Space group P2_1/m (No. 11)
One atom of each set of equivalent atoms:
1 Ce 0.196 0.250 0.172 (multiplicity 2)
2 Np 0.181 0.250 0.650 (multiplicity 2)
3 Cr 0.414 0.750 0.909 (multiplicity 2)
4 N 0.134 0.750 0.422 (multiplicity 2)
5 N 0.144 0.750 0.879 (multiplicity 2)
6 N 0.464 0.750 0.180 (multiplicity 2)


# 9
## CeNp2CrN5 (PBE)

Data for CeNp2CrN5 after structural relaxation.

Results
N(E_F), states/eV per cell: 47.48
Formation energy from raw total energies, eV per atom: -1.114

Unit cell a=6.465 b=6.465 c=11.014 alpha=90.00 beta=90.00 gamma=90.00
Space group I4/mcm (No. 140)
One atom of each set of equivalent atoms:
1 Ce 0.000 0.000 0.250 (multiplicity 4)
2 Np 0.171 0.329 0.000 (multiplicity 8)
3 Cr 0.000 0.500 0.250 (multiplicity 4)
4 N 0.000 0.000 0.000 (multiplicity 4)
5 N 0.150 0.350 0.358 (multiplicity 16)


# 10
## CeCrP2N6 (PBE)

Data for CeCrP2N6 after structural relaxation.

Results
N(E_F), states/eV per cell: 12.81
Formation energy from raw total energies, eV per atom: -0.698

Unit cell a=9.670 b=8.797 c=5.271 alpha=90.00 beta=106.14 gamma=90.00
Space group C2/c (No. 15)
One atom of each set of equivalent atoms:
1 Ce 0.000 0.195 0.250 (multiplicity 4)
2 Cr 0.000 0.403 0.750 (multiplicity 4)
3 P 0.212 0.090 0.781 (multiplicity 8)
4 N 0.111 0.420 0.130 (multiplicity 8)
5 N 0.137 0.253 0.688 (multiplicity 8)
6 N 0.147 0.018 0.013 (multiplicity 8)


# 11
## CePa2CrN4 (PBE)

Data for CePa2CrN4 after structural relaxation.

Results
N(E_F), states/eV per cell: 23.32
Formation energy from raw total energies, eV per atom: -1.323

Unit cell a=3.358 b=11.672 c=11.603 alpha=90.00 beta=90.00 gamma=90.00
Space group Cmcm (No. 63)
One atom of each set of equivalent atoms:
1 Ce 0.000 0.101 0.250 (multiplicity 4)
2 Pa 0.000 0.366 0.055 (multiplicity 8)
3 Cr 0.000 0.159 0.750 (multiplicity 4)
4 N 0.000 0.000 0.000 (multiplicity 4)
5 N 0.000 0.272 0.623 (multiplicity 8)
6 N 0.000 0.445 0.250 (multiplicity 4)


# 12
## CePaCrN4 (PBE)

Data for CePaCrN4 after structural relaxation.

Results
N(E_F), states/eV per cell: 6.80
Formation energy from raw total energies, eV per atom: -1.251

Unit cell a=3.727 b=3.727 c=12.269 alpha=90.00 beta=90.00 gamma=90.00
Space group I4mm (No. 107)
One atom of each set of equivalent atoms:
1 Ce 0.000 0.000 0.000 (multiplicity 2)
2 Pa 0.000 0.000 0.715 (multiplicity 2)
3 Cr 0.000 0.000 0.351 (multiplicity 2)
4 N 0.000 0.000 0.183 (multiplicity 2)
5 N 0.000 0.000 0.538 (multiplicity 2)
6 N 0.000 0.500 0.351 (multiplicity 4)


# 13
## Ce3Pa3CrN8 (PBE)

Data for Ce3Pa3CrN8 after structural relaxation.

Results
N(E_F), states/eV per cell: 41.25
Formation energy from raw total energies, eV per atom: -1.292

Unit cell a=6.8453 b=6.8453 c=17.1155 alpha=90.00 beta=90.00 gamma=120.00
Space group R-3m (No. 166, hexagonal axes)
One atom of each set of equivalent atoms:
1 Ce 0.0000 0.5000 0.0000 (multiplicity 9)
2 Pa 0.0000 0.5000 0.5000 (multiplicity 9)
3 Cr 0.0000 0.0000 0.5000 (multiplicity 3)
4 N 0.0000 0.0000 0.2434 (multiplicity 6)
5 N 0.0219 0.5110 0.2359 (multiplicity 18)


# 14
## CePa2CrN6 (PBE)

Data for CePa2CrN6 after structural relaxation.

Results
N(E_F), states/eV per cell: 6.70
Formation energy from raw total energies, eV per atom: -1.012

Unit cell a=5.279 b=5.279 c=5.343 alpha=90.00 beta=90.00 gamma=90.00
Space group P4mm (No. 99)
One atom of each set of equivalent atoms:
1 Ce 0.000 0.000 0.000 (multiplicity 1)
2 Pa 0.000 0.500 0.444 (multiplicity 2)
3 Cr 0.500 0.500 0.057 (multiplicity 1)
4 N 0.000 0.000 0.591 (multiplicity 1)
5 N 0.263 0.263 0.214 (multiplicity 4)
6 N 0.500 0.500 0.732 (multiplicity 1)


# 15
## Ce2PmCr2N6 (PBE)

Data for Ce2PmCr2N6 after structural relaxation.

Results
N(E_F), states/eV per cell: 27.93
Formation energy from raw total energies, eV per atom: -0.819

Unit cell a=5.5280 b=5.5280 c=18.6478 alpha=90.00 beta=90.00 gamma=120.00
Space group R-3m (No. 166, hexagonal axes)
One atom of each set of equivalent atoms:
1 Ce 0.0000 0.0000 0.2045 (multiplicity 6)
2 Pm 0.0000 0.0000 0.0000 (multiplicity 3)
3 Cr 0.0000 0.0000 0.4046 (multiplicity 6)
4 N 0.0017 0.5008 0.7675 (multiplicity 18)


# 16
## CePm2CrN4 (PBE)

Data for CePm2CrN4 after structural relaxation.

Results
N(E_F), states/eV per cell: 25.84
Formation energy from raw total energies, eV per atom: -1.096

Unit cell a=3.450 b=11.709 c=12.045 alpha=90.00 beta=90.00 gamma=90.00
Space group Cmcm (No. 63)
One atom of each set of equivalent atoms:
1 Ce 0.000 0.100 0.250 (multiplicity 4)
2 Pm 0.000 0.368 0.044 (multiplicity 8)
3 Cr 0.000 0.167 0.750 (multiplicity 4)
4 N 0.000 0.000 0.000 (multiplicity 4)
5 N 0.000 0.273 0.637 (multiplicity 8)
6 N 0.000 0.423 0.250 (multiplicity 4)


# 17
## Ce2PmCrN5 (PBE)

Data for Ce2PmCrN5 after structural relaxation.

Results
N(E_F), states/eV per cell: 17.60
Formation energy from raw total energies, eV per atom: -1.085

Unit cell a=3.378 b=16.484 c=9.385 alpha=90.00 beta=90.00 gamma=90.00
Space group Cmc2_1 (No. 36)
One atom of each set of equivalent atoms:
1 Ce 0.000 0.097 0.000 (multiplicity 4)
2 Ce 0.000 0.106 0.628 (multiplicity 4)
3 Pm 0.000 0.218 0.330 (multiplicity 4)
4 Cr 0.000 0.449 0.778 (multiplicity 4)
5 N 0.000 0.035 0.355 (multiplicity 4)
6 N 0.000 0.318 0.013 (multiplicity 4)
7 N 0.000 0.351 0.686 (multiplicity 4)
8 N 0.000 0.363 0.341 (multiplicity 4)
9 N 0.000 0.498 0.110 (multiplicity 4)


# 18
## Ce2PmCrN4 (PBE)

Data for Ce2PmCrN4 after structural relaxation.

Results
N(E_F), states/eV per cell: 26.24
Formation energy from raw total energies, eV per atom: -1.146

Unit cell a=3.434 b=11.668 c=11.932 alpha=90.00 beta=90.00 gamma=90.00
Space group Cmcm (No. 63)
One atom of each set of equivalent atoms:
1 Ce 0.000 0.133 0.048 (multiplicity 8)
2 Pm 0.000 0.399 0.250 (multiplicity 4)
3 Cr 0.000 0.336 0.750 (multiplicity 4)
4 N 0.000 0.070 0.250 (multiplicity 4)
5 N 0.000 0.231 0.631 (multiplicity 8)
6 N 0.000 0.500 0.000 (multiplicity 4)


# 19
## CePrCrN4 (PBE)

Data for CePrCrN4 after structural relaxation.

Results
N(E_F), states/eV per cell: 11.93
Formation energy from raw total energies, eV per atom: -1.052

Unit cell a=5.724 b=5.487 c=6.961 alpha=90.00 beta=108.88 gamma=90.00
Space group P2_1/m (No. 11)
One atom of each set of equivalent atoms:
1 Ce 0.213 0.250 0.040 (multiplicity 2)
2 Pr 0.286 0.250 0.569 (multiplicity 2)
3 Cr 0.235 0.750 0.800 (multiplicity 2)
4 N 0.034 0.503 0.749 (multiplicity 4)
5 N 0.406 0.750 0.057 (multiplicity 2)
6 N 0.437 0.750 0.654 (multiplicity 2)